1.
## PrNdCdI (PBE)

Data for a relaxed PrNdCdI crystal.

abc: 5.5454 5.5454 5.5454
angles: 60.00 60.00 60.00
Last column: nearest neighbours and their distance in Å.
Positions (direct):
Pr 0.5000 0.5000 0.5000  4 Cd 3.40, 4 I 3.40
Nd 0.0000 0.0000 0.0000  4 I 3.40, 4 Cd 3.40
I 0.7500 0.7500 0.7500  4 Pr 3.40, 4 Nd 3.40
Cd 0.2500 0.2500 0.2500  4 Nd 3.40, 4 Pr 3.40

E_form (uncorrected)	-0.417	eV/atom
spin magnetization	0.00	μB per cell
space group	F-43m (216)

***

2.
## RbNdCdI6 (PBE)

Data for a relaxed RbNdCdI6 crystal.

abc: 7.9775 7.9775 16.3018
angles: 90.00 90.00 120.00
Last column: nearest neighbours and their distance in Å.
Positions (direct):
I 0.6222 0.6312 0.6397  1 Cd 3.05, 1 Nd 3.14
I 0.9910 0.3688 0.1397  1 Cd 3.05, 1 Nd 3.14
I 0.0090 0.6312 0.8603  1 Cd 3.05, 1 Nd 3.14
I 0.3688 0.9910 0.6397  1 Cd 3.05, 1 Nd 3.14
I 0.6312 0.6222 0.1397  1 Cd 3.05, 1 Nd 3.14
Cd 0.6667 0.3333 0.2500  6 I 3.05
I 0.9910 0.6222 0.3603  1 Cd 3.05, 1 Nd 3.14
Nd 0.6667 0.3333 0.7500  6 I 3.14
Rb 0.0000 0.0000 0.0000  6 I 3.75
I 0.6222 0.9910 0.8603  1 Cd 3.05, 1 Nd 3.14
Nd 0.3333 0.6667 0.2500  6 I 3.14
Cd 0.3333 0.6667 0.7500  6 I 3.05
Rb 0.0000 0.0000 0.5000  6 I 3.75
I 0.0090 0.3778 0.6397  1 Cd 3.05, 1 Nd 3.14
I 0.3778 0.3688 0.3603  1 Cd 3.05, 1 Nd 3.14
I 0.6312 0.0090 0.3603  1 Cd 3.05, 1 Nd 3.14
I 0.3778 0.0090 0.1397  1 Cd 3.05, 1 Nd 3.14
I 0.3688 0.3778 0.8603  1 Cd 3.05, 1 Nd 3.14

E_form (uncorrected)	-1.143	eV/atom
spin magnetization	0.00	μB per cell
space group	P-31c (163)

***

3.
## CdNiI3 (PBE)

Data for a relaxed CdNiI3 crystal.

abc: 5.8772 5.8772 5.8772
angles: 90.00 90.00 90.00
Last column: nearest neighbours and their distance in Å.
Positions (direct):
I 0.0000 0.0000 0.5000  2 Cd 2.94
I 0.5000 0.0000 0.0000  2 Cd 2.94
I 0.0000 0.5000 0.0000  2 Cd 2.94
Cd 0.0000 0.0000 0.0000  6 I 2.94
Ni 0.5000 0.5000 0.5000  12 I 4.16

E_form (uncorrected)	0.547	eV/atom
spin magnetization	1.05	μB per cell
space group	Pm-3m (221)

***

4.
## CdNiI2 (PBE)

Data for a relaxed CdNiI2 crystal.

abc: 5.2992 5.2992 5.2992
angles: 60.00 60.00 60.00
Last column: nearest neighbours and their distance in Å.
Positions (direct):
Ni 0.0000 0.0000 0.0000  8 I 3.25
Cd 0.5000 0.5000 0.5000  8 I 3.25
I 0.7500 0.7500 0.7500  4 Cd 3.25, 4 Ni 3.25
I 0.2500 0.2500 0.2500  4 Cd 3.25, 4 Ni 3.25

E_form (uncorrected)	0.496	eV/atom
spin magnetization	0.76	μB per cell
space group	Fm-3m (225)